A plane-wave DFT calculation with PBE was carried out for a geometry-optimized LaGa structure.

POSCAR file:
```
LaGa
1.0
-4.431 -1.636 9.963
9.615 -4.003 3.619
1.187 3.909 1.170
Ga La
8 8
Direct
0.702 0.298 0.500 Ga
0.298 0.298 0.500 Ga
0.202 0.798 0.000 Ga
0.298 0.702 0.500 Ga
0.202 0.202 0.000 Ga
0.798 0.202 0.000 Ga
0.702 0.702 0.500 Ga
0.798 0.798 0.000 Ga
0.000 0.285 0.500 La
0.500 0.215 0.000 La
0.785 0.500 0.000 La
0.000 0.715 0.500 La
0.500 0.785 0.000 La
0.715 0.000 0.500 La
0.215 0.500 0.000 La
0.285 0.000 0.500 La
```

Calculated values
VASP energy ... -4.32 eV per atom
Calculated formation energy ... -32.6 kJ per mole of atoms
Total magnetic moment ... 0.00 Bohr magnetons per cell